The following is a DFT calculation (PBE-GGA) of a relaxed structure of ScCd.

Calculated values
E_form, eV/atom: 0.135
ρ, g/cm3: 5.5
E, hartree per atom: -0.128

```
data_ScCd
_symmetry_space_group_name_H-M 'P 63/m m c'
_symmetry_Int_Tables_number 194
_symmetry_space_group_name_Hall '-P 6c 2c'
_cell_length_a 5.0683
_cell_length_b 5.0683
_cell_length_c 8.5318
_cell_angle_alpha 90.00
_cell_angle_beta 90.00
_cell_angle_gamma 120.00
loop_
_atom_site_label
_atom_site_type_symbol
_atom_site_fract_x
_atom_site_fract_y
_atom_site_fract_z
_atom_site_occupancy
Sc1 Sc 0.0000 0.0000 0.2500 1
Sc2 Sc 0.3333 0.6667 0.2500 1
Cd1 Cd 0.3333 0.6667 0.5847 1
```


The following is a DFT calculation (PBE-GGA) of a relaxed structure of ThPaAsN2.

Calculated values
Raw formation energy, meV/atom: -1646
ρ, g/cm3: 10.0
E, hartree per atom: -0.341

```
data_ThPaAsN2
_symmetry_space_group_name_H-M 'I 4 m m'
_symmetry_Int_Tables_number 107
_symmetry_space_group_name_Hall 'I 4 -2'
_cell_length_a 3.911
_cell_length_b 3.911
_cell_length_c 12.336
_cell_angle_alpha 90.00
_cell_angle_beta 90.00
_cell_angle_gamma 90.00
loop_
_atom_site_label
_atom_site_type_symbol
_atom_site_fract_x
_atom_site_fract_y
_atom_site_fract_z
_atom_site_occupancy
Th1 Th 0.000 0.000 0.000 1
Pa1 Pa 0.000 0.000 0.304 1
As1 As 0.000 0.000 0.652 1
N1 N 0.000 0.500 0.391 1
```


The following is a DFT calculation (PBE-GGA) of a relaxed structure of Rb2SrAsSe4.

Calculated values
Raw formation energy, meV/atom: -849
ρ, g/cm3: 4.2
E, hartree per atom: -0.133

```
data_Rb2SrAsSe4
_symmetry_space_group_name_H-M 'I m m a'
_symmetry_Int_Tables_number 74
_symmetry_space_group_name_Hall '-I 2b 2'
_cell_length_a 8.308
_cell_length_b 9.661
_cell_length_c 12.760
_cell_angle_alpha 90.00
_cell_angle_beta 90.00
_cell_angle_gamma 90.00
loop_
_atom_site_label
_atom_site_type_symbol
_atom_site_fract_x
_atom_site_fract_y
_atom_site_fract_z
_atom_site_occupancy
Rb1 Rb 0.000 0.000 0.000 1
Rb2 Rb 0.250 0.250 0.250 1
Sr1 Sr 0.000 0.000 0.500 1
As1 As 0.250 0.250 0.750 1
Se1 Se 0.000 0.057 0.743 1
Se2 Se 0.226 0.250 0.530 1
```


The following is a DFT calculation (PBE-GGA) of a relaxed structure of BaErZnCd.

Calculated values
E_form, eV/atom: -0.114
ρ, g/cm3: 6.8
E, hartree per atom: -0.084

```
data_BaErZnCd
_symmetry_space_group_name_H-M 'F -4 3 m'
_symmetry_Int_Tables_number 216
_symmetry_space_group_name_Hall 'F -4 2 3'
_cell_length_a 7.793
_cell_length_b 7.793
_cell_length_c 7.793
_cell_angle_alpha 90.00
_cell_angle_beta 90.00
_cell_angle_gamma 90.00
loop_
_atom_site_label
_atom_site_type_symbol
_atom_site_fract_x
_atom_site_fract_y
_atom_site_fract_z
_atom_site_occupancy
Ba1 Ba 0.000 0.000 0.000 1
Er1 Er 0.000 0.000 0.500 1
Zn1 Zn 0.250 0.250 0.250 1
Cd1 Cd 0.250 0.250 0.750 1
```


The following is a DFT calculation (PBE-GGA) of a relaxed structure of Sn4Pd2Au.

Calculated values
E_form, eV/atom: -0.320
ρ, g/cm3: 9.2
E, hartree per atom: -0.168

```
data_Sn4Pd2Au
_symmetry_space_group_name_H-M 'C 1 2/m 1'
_symmetry_Int_Tables_number 12
_cell_length_a 13.287
_cell_length_b 4.063
_cell_length_c 6.694
_cell_angle_alpha 90.00
_cell_angle_beta 118.40
_cell_angle_gamma 90.00
loop_
_symmetry_equiv_pos_as_xyz
'x,y,z'
'-x,-y,-z'
'-x,y,-z'
'x,-y,z'
'x+1/2,y+1/2,z'
'-x+1/2,-y+1/2,-z'
'-x+1/2,y+1/2,-z'
'x+1/2,-y+1/2,z'
loop_
_atom_site_label
_atom_site_type_symbol
_atom_site_fract_x
_atom_site_fract_y
_atom_site_fract_z
_atom_site_occupancy
Sn1 Sn 0.105 0.000 0.479 1
Sn2 Sn 0.141 0.500 0.966 1
Pd1 Pd 0.249 0.500 0.704 1
Au1 Au 0.000 0.000 0.000 1
```


The following is a DFT calculation (PBE-GGA) of a relaxed structure of LaCo2SiGe.

Calculated values
Raw formation energy, meV/atom: 546
ρ, g/cm3: 5.3
E, hartree per atom: -0.194

```
data_LaCo2SiGe
_symmetry_space_group_name_H-M 'P 4/m m m'
_symmetry_Int_Tables_number 123
_symmetry_space_group_name_Hall '-P 4 2'
_cell_length_a 4.445
_cell_length_b 4.445
_cell_length_c 5.684
_cell_angle_alpha 90.00
_cell_angle_beta 90.00
_cell_angle_gamma 90.00
loop_
_atom_site_label
_atom_site_type_symbol
_atom_site_fract_x
_atom_site_fract_y
_atom_site_fract_z
_atom_site_occupancy
La1 La 0.000 0.000 0.000 1
Co1 Co 0.000 0.500 0.500 1
Si1 Si 0.500 0.500 0.000 1
Ge1 Ge 0.000 0.000 0.500 1
```


The following is a DFT calculation (PBE-GGA) of a relaxed structure of PaTlBi3.

Calculated values
E_form, eV/atom: 0.092
ρ, g/cm3: 10.0
E, hartree per atom: -0.169

```
data_PaTlBi3
_symmetry_space_group_name_H-M 'C 1 2/c 1'
_symmetry_Int_Tables_number 15
_cell_length_a 15.717
_cell_length_b 11.440
_cell_length_c 7.876
_cell_angle_alpha 90.00
_cell_angle_beta 90.05
_cell_angle_gamma 90.00
loop_
_symmetry_equiv_pos_as_xyz
'x,y,z'
'-x,-y,-z'
'-x,y,-z+1/2'
'x,-y,z+1/2'
'x+1/2,y+1/2,z'
'-x+1/2,-y+1/2,-z'
'-x+1/2,y+1/2,-z+1/2'
'x+1/2,-y+1/2,z+1/2'
loop_
_atom_site_label
_atom_site_type_symbol
_atom_site_fract_x
_atom_site_fract_y
_atom_site_fract_z
_atom_site_occupancy
Pa1 Pa 0.250 0.055 0.089 1
Tl1 Tl 0.000 0.161 0.750 1
Tl2 Tl 0.000 0.340 0.250 1
Bi1 Bi 0.111 0.088 0.381 1
Bi2 Bi 0.112 0.413 0.619 1
Bi3 Bi 0.250 0.198 0.737 1
```


The following is a DFT calculation (PBE-GGA) of a relaxed structure of YIn2W.

Calculated values
Energy relative to the lowest polymorph listed for this composition, eV per atom: 0.025
E_form, eV/atom: 0.215
ρ, g/cm3: 9.7
E, hartree per atom: -0.221

```
data_YIn2W
_symmetry_space_group_name_H-M 'P 1 2/m 1'
_symmetry_Int_Tables_number 10
_cell_length_a 3.021
_cell_length_b 4.462
_cell_length_c 6.383
_cell_angle_alpha 90.00
_cell_angle_beta 90.16
_cell_angle_gamma 90.00
loop_
_symmetry_equiv_pos_as_xyz
'x,y,z'
'-x,-y,-z'
'-x,y,-z'
'x,-y,z'
loop_
_atom_site_label
_atom_site_type_symbol
_atom_site_fract_x
_atom_site_fract_y
_atom_site_fract_z
_atom_site_occupancy
Y1 Y 0.000 0.000 0.000 1
In1 In 0.499 0.500 0.725 1
W1 W 0.000 0.000 0.500 1
```


The following is a DFT calculation (PBE-GGA) of a relaxed structure of LiTiTc2C.

Calculated values
E_form, eV/atom: -0.003
ρ, g/cm3: 6.9
E, hartree per atom: -0.292

```
data_LiTiTc2C
_symmetry_space_group_name_H-M 'P 4/m m m'
_symmetry_Int_Tables_number 123
_symmetry_space_group_name_Hall '-P 4 2'
_cell_length_a 4.110
_cell_length_b 4.110
_cell_length_c 3.768
_cell_angle_alpha 90.00
_cell_angle_beta 90.00
_cell_angle_gamma 90.00
loop_
_atom_site_label
_atom_site_type_symbol
_atom_site_fract_x
_atom_site_fract_y
_atom_site_fract_z
_atom_site_occupancy
Li1 Li 0.000 0.000 0.000 1
Ti1 Ti 0.500 0.500 0.000 1
Tc1 Tc 0.000 0.500 0.500 1
C1 C 0.000 0.000 0.500 1
```


The following is a DFT calculation (PBE-GGA) of a relaxed structure of Sr3I3N.

Calculated values
Energy relative to the lowest polymorph listed for this composition, eV per atom: 0.056
Raw formation energy, meV/atom: -1308
ρ, g/cm3: 4.5
E, hartree per atom: -0.143

```
data_Sr3I3N
_symmetry_space_group_name_H-M 'P 1 21/m 1'
_symmetry_Int_Tables_number 11
_cell_length_a 9.174
_cell_length_b 4.257
_cell_length_c 12.489
_cell_angle_alpha 90.00
_cell_angle_beta 92.48
_cell_angle_gamma 90.00
loop_
_symmetry_equiv_pos_as_xyz
'x,y,z'
'-x,-y,-z'
'-x,y+1/2,-z'
'x,-y+1/2,z'
loop_
_atom_site_label
_atom_site_type_symbol
_atom_site_fract_x
_atom_site_fract_y
_atom_site_fract_z
_atom_site_occupancy
Sr1 Sr 0.083 0.250 0.402 1
Sr2 Sr 0.116 0.250 0.829 1
Sr3 Sr 0.306 0.750 0.620 1
I1 I 0.141 0.250 0.128 1
I2 I 0.376 0.750 0.876 1
I3 I 0.382 0.750 0.367 1
N1 N 0.115 0.250 0.617 1
```


The following is a DFT calculation (PBE-GGA) of a relaxed structure of TbCe2Bi.

Calculated values
Energy relative to the lowest polymorph listed for this composition, eV per atom: 0.060
E_form, eV/atom: -0.372
ρ, g/cm3: 9.6
E, hartree per atom: -0.201

```
data_TbCe2Bi
_symmetry_space_group_name_H-M 'P 4/m m m'
_symmetry_Int_Tables_number 123
_symmetry_space_group_name_Hall '-P 4 2'
_cell_length_a 4.654
_cell_length_b 4.654
_cell_length_c 5.195
_cell_angle_alpha 90.00
_cell_angle_beta 90.00
_cell_angle_gamma 90.00
loop_
_atom_site_label
_atom_site_type_symbol
_atom_site_fract_x
_atom_site_fract_y
_atom_site_fract_z
_atom_site_occupancy
Tb1 Tb 0.000 0.000 0.000 1
Ce1 Ce 0.000 0.500 0.500 1
Bi1 Bi 0.500 0.500 0.000 1
```


The following is a DFT calculation (PBE-GGA) of a relaxed structure of HgSN2O.

Calculated values
Raw formation energy, meV/atom: 1256
ρ, g/cm3: 6.4
E, hartree per atom: -0.145

```
data_HgSN2O
_symmetry_space_group_name_H-M 'P 4/m m m'
_symmetry_Int_Tables_number 123
_symmetry_space_group_name_Hall '-P 4 2'
_cell_length_a 3.328
_cell_length_b 3.328
_cell_length_c 6.520
_cell_angle_alpha 90.00
_cell_angle_beta 90.00
_cell_angle_gamma 90.00
loop_
_atom_site_label
_atom_site_type_symbol
_atom_site_fract_x
_atom_site_fract_y
_atom_site_fract_z
_atom_site_occupancy
Hg1 Hg 0.000 0.000 0.000 1
S1 S 0.500 0.500 0.500 1
N1 N 0.000 0.500 0.500 1
O1 O 0.500 0.500 0.000 1
```


The following is a DFT calculation (PBE-GGA) of a relaxed structure of CaDyCo.

Calculated values
Energy relative to the lowest polymorph listed for this composition, eV per atom: 0.225
E_form, eV/atom: 0.116
ρ, g/cm3: 5.3
E, hartree per atom: -0.164

```
data_CaDyCo
_symmetry_space_group_name_H-M 'C 1 2/m 1'
_symmetry_Int_Tables_number 12
_cell_length_a 13.015
_cell_length_b 4.551
_cell_length_c 5.516
_cell_angle_alpha 90.00
_cell_angle_beta 94.34
_cell_angle_gamma 90.00
loop_
_symmetry_equiv_pos_as_xyz
'x,y,z'
'-x,-y,-z'
'-x,y,-z'
'x,-y,z'
'x+1/2,y+1/2,z'
'-x+1/2,-y+1/2,-z'
'-x+1/2,y+1/2,-z'
'x+1/2,-y+1/2,z'
loop_
_atom_site_label
_atom_site_type_symbol
_atom_site_fract_x
_atom_site_fract_y
_atom_site_fract_z
_atom_site_occupancy
Ca1 Ca 0.231 0.000 0.248 1
Dy1 Dy 0.000 0.000 0.500 1
Dy2 Dy 0.000 0.500 0.000 1
Co1 Co 0.092 0.500 0.425 1
```


The following is a DFT calculation (PBE-GGA) of a relaxed structure of Rb9Au3O2.

Calculated values
Raw formation energy, meV/atom: -532
ρ, g/cm3: 4.2
E, hartree per atom: -0.094

```
data_Rb9Au3O2
_symmetry_space_group_name_H-M 'P -3 m 1'
_symmetry_Int_Tables_number 164
_symmetry_space_group_name_Hall '-P 3 2"'
_cell_length_a 8.0485
_cell_length_b 8.0485
_cell_length_c 9.8787
_cell_angle_alpha 90.00
_cell_angle_beta 90.00
_cell_angle_gamma 120.00
loop_
_atom_site_label
_atom_site_type_symbol
_atom_site_fract_x
_atom_site_fract_y
_atom_site_fract_z
_atom_site_occupancy
Rb1 Rb 0.0000 0.5000 0.0000 1
Rb2 Rb 0.1767 0.3533 0.6809 1
Au1 Au 0.0000 0.0000 0.0000 1
Au2 Au 0.3333 0.6667 0.3445 1
O1 O 0.3333 0.6667 0.8327 1
```


The following is a DFT calculation (PBE-GGA) of a relaxed structure of MgCu2W.

Calculated values
E_form, eV/atom: 0.533
ρ, g/cm3: 9.2
E, hartree per atom: -0.189

```
data_MgCu2W
_symmetry_space_group_name_H-M 'I m m m'
_symmetry_Int_Tables_number 71
_symmetry_space_group_name_Hall '-I 2 2'
_cell_length_a 2.685
_cell_length_b 4.831
_cell_length_c 9.319
_cell_angle_alpha 90.00
_cell_angle_beta 90.00
_cell_angle_gamma 90.00
loop_
_atom_site_label
_atom_site_type_symbol
_atom_site_fract_x
_atom_site_fract_y
_atom_site_fract_z
_atom_site_occupancy
Mg1 Mg 0.000 0.000 0.000 1
Cu1 Cu 0.000 0.500 0.246 1
W1 W 0.000 0.000 0.500 1
```


The following is a DFT calculation (PBE-GGA) of a relaxed structure of CuHg2I2.

Calculated values
Raw formation energy, meV/atom: 54
ρ, g/cm3: 5.7
E, hartree per atom: -0.055

```
data_CuHg2I2
_symmetry_space_group_name_H-M 'P 4/m b m'
_symmetry_Int_Tables_number 127
_symmetry_space_group_name_Hall '-P 4 2ab'
_cell_length_a 7.135
_cell_length_b 7.135
_cell_length_c 8.164
_cell_angle_alpha 90.00
_cell_angle_beta 90.00
_cell_angle_gamma 90.00
loop_
_atom_site_label
_atom_site_type_symbol
_atom_site_fract_x
_atom_site_fract_y
_atom_site_fract_z
_atom_site_occupancy
Cu1 Cu 0.000 0.000 0.000 1
Hg1 Hg 0.174 0.326 0.500 1
I1 I 0.175 0.675 0.000 1
```


The following is a DFT calculation (PBE-GGA) of a relaxed structure of Sr2ZnHgRh.

Calculated values
E_form, eV/atom: -0.265
ρ, g/cm3: 5.6
E, hartree per atom: -0.100

```
data_Sr2ZnHgRh
_symmetry_space_group_name_H-M 'P 4/m m m'
_symmetry_Int_Tables_number 123
_symmetry_space_group_name_Hall '-P 4 2'
_cell_length_a 5.763
_cell_length_b 5.763
_cell_length_c 4.820
_cell_angle_alpha 90.00
_cell_angle_beta 90.00
_cell_angle_gamma 90.00
loop_
_atom_site_label
_atom_site_type_symbol
_atom_site_fract_x
_atom_site_fract_y
_atom_site_fract_z
_atom_site_occupancy
Sr1 Sr 0.000 0.500 0.000 1
Zn1 Zn 0.000 0.000 0.500 1
Hg1 Hg 0.500 0.500 0.500 1
Rh1 Rh 0.000 0.000 0.000 1
```


The following is a DFT calculation (PBE-GGA) of a relaxed structure of RbH.

Calculated values
ρ, g/cm3: 1.7
E, hartree per atom: -0.083

```
data_RbH
_symmetry_space_group_name_H-M 'I -4 3 m'
_symmetry_Int_Tables_number 217
_symmetry_space_group_name_Hall 'I -4 2 3'
_cell_length_a 8.859
_cell_length_b 8.859
_cell_length_c 8.859
_cell_angle_alpha 90.00
_cell_angle_beta 90.00
_cell_angle_gamma 90.00
loop_
_atom_site_label
_atom_site_type_symbol
_atom_site_fract_x
_atom_site_fract_y
_atom_site_fract_z
_atom_site_occupancy
Rb1 Rb 0.163 0.163 0.837 1
H1 H 0.159 0.159 0.159 1
```


The following is a DFT calculation (PBE-GGA) of a relaxed structure of TlAs2Ru.

Calculated values
Energy relative to the lowest polymorph listed for this composition, eV per atom: 0.624
E_form, eV/atom: 0.589
ρ, g/cm3: 10.0
E, hartree per atom: -0.171

```
data_TlAs2Ru
_symmetry_space_group_name_H-M 'I -4 m 2'
_symmetry_Int_Tables_number 119
_symmetry_space_group_name_Hall 'I -4 -2'
_cell_length_a 4.288
_cell_length_b 4.288
_cell_length_c 8.202
_cell_angle_alpha 90.00
_cell_angle_beta 90.00
_cell_angle_gamma 90.00
loop_
_atom_site_label
_atom_site_type_symbol
_atom_site_fract_x
_atom_site_fract_y
_atom_site_fract_z
_atom_site_occupancy
Tl1 Tl 0.000 0.000 0.000 1
As1 As 0.000 0.000 0.500 1
As2 As 0.000 0.500 0.750 1
Ru1 Ru 0.000 0.500 0.250 1
```


The following is a DFT calculation (PBE-GGA) of a relaxed structure of MnV5Ga4.

Calculated values
E_form, eV/atom: 0.136
ρ, g/cm3: 6.4
E, hartree per atom: -0.241

```
data_MnV5Ga4
_symmetry_space_group_name_H-M 'I 4 m m'
_symmetry_Int_Tables_number 107
_symmetry_space_group_name_Hall 'I 4 -2'
_cell_length_a 8.463
_cell_length_b 8.463
_cell_length_c 4.235
_cell_angle_alpha 90.00
_cell_angle_beta 90.00
_cell_angle_gamma 90.00
loop_
_atom_site_label
_atom_site_type_symbol
_atom_site_fract_x
_atom_site_fract_y
_atom_site_fract_z
_atom_site_occupancy
Mn1 Mn 0.000 0.000 0.000 1
V1 V 0.000 0.000 0.490 1
V2 V 0.190 0.190 0.180 1
Ga1 Ga 0.000 0.301 0.686 1
```